No. 1
# K2NpBiS4

A relaxed K2NpBiS4 crystal (PBE-GGA, Alexandria via LeMat-Bulk).

abc: 4.1562 7.2035 7.7469
angles: 108.07 90.00 90.00
With the nearest neighbours (Å) after each atom.
Fractional positions:
S 0.5000 0.2421 0.2086  1 Np 2.82, 2 Bi 2.87
S 0.0000 0.2734 0.7965  2 Np 2.81, 1 Bi 2.88
S 0.5000 0.7579 0.7914  1 Np 2.82, 2 Bi 2.87
S 0.0000 0.7266 0.2035  2 Np 2.81, 1 Bi 2.88
Np 0.5000 0.5000 0.0000  6 S 2.81-2.82
Bi 0.0000 0.0000 0.0000  6 S 2.87-2.88
K 0.5000 0.0000 0.5000  6 S 3.25-3.27
K 0.0000 0.5000 0.5000  6 S 3.20

Computed properties:
Total energy   -44.212 eV for the cell shown
Crystal system   monoclinic

---

No. 2
# LiY6Te8

A relaxed LiY6Te8 crystal (PBE-GGA, Alexandria via LeMat-Bulk).

abc: 4.4807 11.5489 11.5489
angles: 120.00 90.00 90.00
With the nearest neighbours (Å) after each atom.
Fractional positions:
Te 0.7492 0.2998 0.3429  4 Y 3.07-3.13
Te 0.2508 0.9569 0.2998  4 Y 3.07-3.13
Te 0.7492 0.0431 0.7002  4 Y 3.07-3.13
Te 0.7502 0.6667 0.3333  6 Y 3.14
Te 0.2508 0.7002 0.6571  4 Y 3.07-3.13
Te 0.2498 0.3333 0.6667  6 Y 3.14
Te 0.2508 0.3429 0.0431  4 Y 3.07-3.13
Te 0.7492 0.6571 0.9569  4 Y 3.07-3.13
Y 0.7501 0.3522 0.8659  6 Te 3.07-3.14
Y 0.7501 0.1341 0.4863  6 Te 3.07-3.14
Y 0.2499 0.6478 0.1341  6 Te 3.07-3.14
Y 0.7501 0.5137 0.6478  6 Te 3.07-3.14
Y 0.2499 0.8659 0.5137  6 Te 3.07-3.14
Y 0.2499 0.4863 0.3522  6 Te 3.07-3.14
Li 0.5000 0.0000 0.0000  6 Te 3.90

Computed properties:
Offset from the most stable computed form   94 meV/atom
Total energy   -84.634 eV for the cell shown
Crystal system   trigonal

---

No. 3
# Li2CuW

A relaxed Li2CuW crystal (PBE-GGA, Alexandria via LeMat-Bulk).

abc: 2.5196 3.9787 5.4746
angles: 90.00 90.00 90.00
With the nearest neighbours (Å) after each atom.
Fractional positions:
W 0.5000 0.5000 0.2500  2 W 2.52, 2 Cu 2.74, 8 Li 2.78
Li 0.0000 0.0000 0.9794  3 Li 2.51-2.52, 4 Cu 2.67, 4 W 2.78
Li 0.0000 0.0000 0.5206  3 Li 2.51-2.52, 4 Cu 2.67, 4 W 2.78
Cu 0.5000 0.5000 0.7500  2 Cu 2.52, 8 Li 2.67, 2 W 2.74

Computed properties:
Offset from the most stable computed form   226 meV/atom
Energy of formation   488 meV per atom
Total energy   -18.924 eV for the cell shown
Crystal system   orthorhombic

---

No. 4
# Ca2TaW

A relaxed Ca2TaW crystal (PBE-GGA, Alexandria via LeMat-Bulk).

abc: 5.9147 6.0682 2.8945
angles: 85.08 71.73 114.37
With the nearest neighbours (Å) after each atom.
Fractional positions:
Ta 0.0000 0.5000 0.5000  2 W 2.86, 2 Ta 2.89
W 0.5000 0.5000 0.0000  2 Ta 2.86, 2 W 2.89
Ca 0.5000 0.0000 0.5000  4 Ca 2.86-2.89
Ca 0.0000 0.0000 0.0000  4 Ca 2.86-2.89

Computed properties:
Offset from the most stable computed form   491 meV/atom
Energy of formation   890 meV per atom
Total energy   -25.248 eV for the cell shown
Crystal system   monoclinic

---

No. 5
# Ho3TmRu4

A relaxed Ho3TmRu4 crystal (PBE-GGA, Alexandria via LeMat-Bulk).

abc: 4.7705 6.7674 9.5422
angles: 90.00 90.00 90.00
With the nearest neighbours (Å) after each atom.
Fractional positions:
Tm 0.0000 0.5000 0.5000  8 Ru 2.92
Tm 0.0000 0.5000 0.0000  8 Ru 2.92
Ru 0.0003 0.7490 0.7500  6 Ho 2.92-2.93, 2 Tm 2.92
Ru 0.5000 0.2510 0.5000  2 Tm 2.92, 6 Ho 2.92-2.93
Ru 0.5000 0.7490 0.0000  2 Tm 2.92, 6 Ho 2.92-2.93
Ru 0.9997 0.7490 0.2500  6 Ho 2.92-2.93, 2 Tm 2.92
Ru 0.0003 0.2510 0.7500  6 Ho 2.92-2.93, 2 Tm 2.92
Ru 0.9997 0.2510 0.2500  6 Ho 2.92-2.93, 2 Tm 2.92
Ru 0.5000 0.7490 0.5000  2 Tm 2.92, 6 Ho 2.92-2.93
Ru 0.5000 0.2510 0.0000  2 Tm 2.92, 6 Ho 2.92-2.93
Ho 0.4998 0.5000 0.2500  8 Ru 2.92
Ho 0.0000 0.0000 0.5000  8 Ru 2.93
Ho 0.5002 0.5000 0.7500  8 Ru 2.92
Ho 0.0000 0.0000 0.0000  8 Ru 2.93
Ho 0.5002 0.0000 0.7500  8 Ru 2.93
Ho 0.4998 0.0000 0.2500  8 Ru 2.93

Computed properties:
Energy of formation   -366 meV per atom
Total energy   -116.467 eV for the cell shown
Crystal system   tetragonal

---

No. 6
# La2RePb

A relaxed La2RePb crystal (PBE-GGA, Alexandria via LeMat-Bulk).

abc: 5.1906 5.1906 5.1906
angles: 60.00 60.00 60.00
With the nearest neighbours (Å) after each atom.
Fractional positions:
Pb 0.5000 0.5000 0.5000  4 Re 3.18, 4 La 3.18
La 0.2500 0.2500 0.2500  4 La 3.18, 4 Pb 3.18
La 0.0000 0.0000 0.0000  4 Re 3.18, 4 La 3.18
Re 0.7500 0.7500 0.7500  4 Pb 3.18, 4 La 3.18

Computed properties:
Energy of formation   263 meV per atom
Total energy   -24.959 eV for the cell shown
Crystal system   cubic

---

No. 7
# Zr4BiTe3

A relaxed Zr4BiTe3 crystal (PBE-GGA, Alexandria via LeMat-Bulk).

abc: 5.3875 7.2455 10.7781
angles: 90.00 90.00 90.00
With the nearest neighbours (Å) after each atom.
Fractional positions:
Zr 0.0644 0.3740 0.2510  4 Te 2.96-3.04, 1 Bi 3.04, 4 Zr 3.23-3.26
Zr 0.0644 0.3740 0.7490  4 Te 2.96-3.04, 1 Bi 3.04, 4 Zr 3.23-3.26
Zr 0.0643 0.6263 0.0000  4 Te 2.96-2.97, 1 Bi 3.21, 4 Zr 3.24-3.26
Zr 0.5643 0.3737 0.5000  4 Te 2.96-2.97, 1 Bi 3.21, 4 Zr 3.24-3.26
Zr 0.5644 0.6260 0.7510  4 Te 2.96-3.04, 1 Bi 3.04, 4 Zr 3.23-3.26
Zr 0.5644 0.3779 0.0000  3 Te 2.96-3.05, 2 Bi 3.04, 4 Zr 3.23-3.24
Zr 0.0644 0.6221 0.5000  3 Te 2.96-3.05, 2 Bi 3.04, 4 Zr 3.23-3.24
Zr 0.5644 0.6260 0.2490  4 Te 2.96-3.04, 1 Bi 3.04, 4 Zr 3.23-3.26
Te 0.5644 0.2058 0.2492  5 Zr 2.96-3.04
Te 0.0643 0.2013 0.5000  5 Zr 2.96-3.05
Te 0.5644 0.2058 0.7508  5 Zr 2.96-3.04
Te 0.5643 0.7987 0.0000  5 Zr 2.96-3.05
Te 0.0644 0.7942 0.2508  5 Zr 2.96-3.04
Te 0.0644 0.7942 0.7492  5 Zr 2.96-3.04
Bi 0.0645 0.1839 0.0000  5 Zr 3.04-3.21
Bi 0.5645 0.8161 0.5000  5 Zr 3.04-3.21

Computed properties:
Total energy   -107.077 eV for the cell shown
Crystal system   orthorhombic

---

No. 8
# La8HgN4

A relaxed La8HgN4 crystal (PBE-GGA, Alexandria via LeMat-Bulk).

abc: 7.9551 7.9551 7.9551
angles: 60.00 60.00 60.00
With the nearest neighbours (Å) after each atom.
Fractional positions:
La 0.1413 0.5760 0.1413  3 N 2.60
La 0.5760 0.1413 0.1413  3 N 2.60
La 0.1413 0.1413 0.5760  3 N 2.60
La 0.1928 0.6024 0.6024  3 N 2.62, 1 Hg 2.88
La 0.6024 0.6024 0.6024  3 N 2.62, 1 Hg 2.88
La 0.6024 0.6024 0.1927  3 N 2.62, 1 Hg 2.88
La 0.6024 0.1927 0.6024  3 N 2.62, 1 Hg 2.88
La 0.1413 0.1413 0.1413  3 N 2.60
N 0.3720 0.3720 0.8841  6 La 2.60-2.62
N 0.3720 0.8841 0.3720  6 La 2.60-2.62
N 0.3720 0.3720 0.3720  6 La 2.60-2.62
N 0.8841 0.3720 0.3720  6 La 2.60-2.62
Hg 0.7500 0.7500 0.7500  4 La 2.88

Computed properties:
Total energy   -82.557 eV for the cell shown
Crystal system   cubic

---

No. 9
# Na2TlCd

A relaxed Na2TlCd crystal (PBE-GGA, Alexandria via LeMat-Bulk).

abc: 3.4919 3.4919 10.8649
angles: 80.75 80.75 60.00
With the nearest neighbours (Å) after each atom.
Fractional positions:
Tl 0.5000 0.5000 0.5000  6 Na 3.41, 6 Tl 3.49
Na 0.2524 0.2524 0.2427  3 Cd 3.28, 3 Tl 3.41, 6 Na 3.49
Na 0.0809 0.0809 0.7572  3 Cd 3.29, 3 Tl 3.41, 6 Na 3.49
Cd 0.6666 0.6666 0.0002  6 Na 3.28-3.29, 6 Cd 3.49

Computed properties:
Energy of formation   -44 meV per atom
Total energy   -6.095 eV for the cell shown
Crystal system   trigonal

---

- Which of these has the lowest total energy?
  Ho3TmRu4

---

- Among the records above, which one has the lowest total energy?
  Ho3TmRu4

---

- Look up the total energy of the third one.
  -18.924 eV for the cell shown